1.
A geometry-optimized Cs2MnO structure, computed with GGA+U.

Lattice parameters (Å, degrees): 9.7295 9.7295 9.7295 92.28 92.28 157.00
Atoms (fractional coordinates):
Cs1 0.3750 0.1722 0.2972
Cs2 0.8278 0.1250 0.2028
Cs3 0.8750 0.0778 0.7028
Cs4 0.9222 0.6250 0.7972
Mn1 0.2500 0.7500 0.5000
Mn2 0.5000 0.5000 0.0000
O1 0.0000 0.0000 0.0000
O2 0.7500 0.2500 0.5000

- E_tot (eV/cell) = -32.541
- total moment (μB/cell) = 9.3

---

2.
A geometry-optimized Cs2MnO structure, computed with GGA+U.

Lattice parameters (Å, degrees): 5.5314 5.5314 5.5314 60.00 60.00 60.00
Atoms (fractional coordinates):
Cs1 0.2500 0.2500 0.2500
Cs2 0.7500 0.7500 0.7500
Mn1 0.0000 0.0000 0.0000
O1 0.5000 0.5000 0.5000

- E_tot (eV/cell) = -13.016
- total moment (μB/cell) = 5.0

---

3.
A geometry-optimized CsMnO2 structure, computed with GGA+U.

Lattice parameters (Å, degrees): 3.5356 3.5356 6.3445 105.96 105.96 90.02
Atoms (fractional coordinates):
Cs1 0.0000 0.0000 0.0000
Mn1 0.7461 0.2539 0.5000
O1 0.3140 0.3217 0.6388
O2 0.6783 0.6860 0.3612

- E_tot (eV/cell) = -23.355
- total moment (μB/cell) = 4.0

---

4.
A geometry-optimized CsMnO2 structure, computed with GGA+U.

Lattice parameters (Å, degrees): 3.8927 3.8926 4.9203 90.00 90.08 90.00
Atoms (fractional coordinates):
Cs1 0.0000 0.0000 0.0000
Mn1 0.5000 0.5000 0.5000
O1 0.0000 0.5000 0.5000
O2 0.5000 0.0000 0.5000

- E_tot (eV/cell) = -23.126
- total moment (μB/cell) = 4.1

---

5.
A geometry-optimized CsMnO2 structure, computed with GGA+U.

Lattice parameters (Å, degrees): 6.9191 3.7912 13.3913 90.00 90.00 90.00
Atoms (fractional coordinates):
Cs1 0.0673 0.2500 0.1680
Cs2 0.4327 0.7500 0.6680
Cs3 0.5673 0.2500 0.3320
Cs4 0.9327 0.7500 0.8320
Mn1 0.1049 0.7500 0.4321
Mn2 0.3951 0.2500 0.9321
Mn3 0.6049 0.7500 0.0679
Mn4 0.8951 0.2500 0.5679
O1 0.1202 0.2500 0.4719
O2 0.2378 0.7500 0.3179
O3 0.2622 0.2500 0.8179
O4 0.3798 0.7500 0.9719
O5 0.6202 0.2500 0.0281
O6 0.7378 0.7500 0.1821
O7 0.7622 0.2500 0.6821
O8 0.8798 0.7500 0.5281

- E_tot (eV/cell) = -95.520
- total moment (μB/cell) = 16.0

---

6.
A geometry-optimized CsMnO2 structure, computed with GGA+U.

Lattice parameters (Å, degrees): 7.5375 7.5375 7.5375 27.55 27.55 27.55
Atoms (fractional coordinates):
Cs1 0.0000 0.0000 0.0000
Mn1 0.4946 0.4946 0.4946
O1 0.4131 0.4131 0.4131
O2 0.8510 0.8510 0.8510

- E_tot (eV/cell) = -22.570
- total moment (μB/cell) = 4.0